This record from OQMD describes a geometry-optimized CuB6H9C12N9 structure. The functional is PBE.

Results
- volume (Å³ per cell) = 977.0
- raw total energy (eV/atom) = -6.972

Geometry as CIF:
```
data_CuB6H9C12N9
_chemical_formula_sum 'Cu2 B12 H18 C24 N18'
_cell_length_a 9.615
_cell_length_b 9.916
_cell_length_c 10.639
_cell_angle_alpha 101.11
_cell_angle_beta 94.58
_cell_angle_gamma 98.93
_symmetry_space_group_name_H-M 'P 1'
_symmetry_Int_Tables_number 1
loop_
_symmetry_equiv_pos_as_xyz
'x,y,z'
loop_
_atom_site_label
_atom_site_fract_x
_atom_site_fract_y
_atom_site_fract_z
Cu1 0.160 0.413 0.300
Cu2 0.840 0.587 0.700
B1 0.333 0.920 0.014
B2 0.366 0.021 0.894
B3 0.387 0.105 0.060
B4 0.427 0.858 0.882
B5 0.461 0.994 0.152
B6 0.485 0.842 0.042
B7 0.515 0.158 0.958
B8 0.539 0.006 0.848
B9 0.573 0.142 0.118
B10 0.613 0.895 0.940
B11 0.634 0.979 0.106
B12 0.667 0.080 0.986
H1 0.031 0.846 0.368
H2 0.162 0.311 0.896
H3 0.163 0.739 0.390
H4 0.165 0.899 0.502
H5 0.197 0.473 0.009
H6 0.284 0.455 0.866
H7 0.343 0.361 0.613
H8 0.385 0.301 0.455
H9 0.415 0.202 0.575
H10 0.585 0.798 0.425
H11 0.615 0.699 0.545
H12 0.657 0.639 0.387
H13 0.716 0.545 0.134
H14 0.803 0.527 0.991
H15 0.835 0.101 0.498
H16 0.837 0.261 0.610
H17 0.838 0.689 0.104
H18 0.969 0.154 0.632
C1 0.007 0.735 0.515
C2 0.069 0.467 0.840
C3 0.097 0.809 0.439
C4 0.184 0.850 0.031
C5 0.186 0.424 0.906
C6 0.250 0.044 0.797
C7 0.292 0.200 0.123
C8 0.366 0.729 0.777
C9 0.417 0.308 0.557
C10 0.419 0.987 0.286
C11 0.442 0.612 0.407
C12 0.474 0.702 0.085
C13 0.526 0.298 0.915
C14 0.558 0.388 0.593
C15 0.581 0.013 0.714
C16 0.583 0.692 0.443
C17 0.634 0.271 0.223
C18 0.708 0.800 0.877
C19 0.750 0.956 0.203
C20 0.814 0.576 0.094
C21 0.816 0.150 0.969
C22 0.903 0.191 0.561
C23 0.931 0.533 0.160
C24 0.993 0.265 0.485
N1 0.025 0.499 0.214
N2 0.064 0.325 0.423
N3 0.072 0.797 0.048
N4 0.164 0.064 0.722
N5 0.228 0.276 0.182
N6 0.323 0.629 0.698
N7 0.329 0.546 0.378
N8 0.383 0.979 0.387
N9 0.468 0.598 0.121
N10 0.532 0.402 0.879
N11 0.617 0.021 0.613
N12 0.671 0.454 0.622
N13 0.677 0.371 0.302
N14 0.772 0.724 0.818
N15 0.836 0.936 0.278
N16 0.928 0.203 0.952
N17 0.936 0.675 0.577
N18 0.975 0.501 0.786
```